(1)
# Ca2SnS4 GGA-PBE optimized geometry
data_Ca2SnS4
_chemical_formula_sum 'Ca4 Sn2 S8'
_space_group_name_H-M_alt 'C m m m'
_space_group_IT_number 65
_space_group_name_Hall '-C 2 2'
_cell_length_a 8.199
_cell_length_b 11.366
_cell_length_c 3.863
_cell_angle_alpha 90.00
_cell_angle_beta 90.00
_cell_angle_gamma 90.00
loop_
_atom_site_label
_atom_site_type_symbol
_atom_site_fract_x
_atom_site_fract_y
_atom_site_fract_z
Ca1 Ca 0.250 0.250 0.000
Sn1 Sn 0.000 0.000 0.500
S1 S 0.000 0.230 0.500
S2 S 0.218 0.000 0.000
# formation energy from raw total energies: -1379 meV per atom
# electronic total energy: -68.34 eV/cell


(2)
# TaPRh GGA-PBE optimized geometry
data_TaPRh
_chemical_formula_sum 'Ta1 P1 Rh1'
_space_group_name_H-M_alt 'P 3 m 1'
_space_group_IT_number 156
_cell_length_a 2.9066
_cell_length_b 2.9066
_cell_length_c 6.1764
_cell_angle_alpha 90.00
_cell_angle_beta 90.00
_cell_angle_gamma 120.00
loop_
_space_group_symop_operation_xyz
'x,y,z'
'-y,x-y,z'
'-x+y,-x,z'
'-y,-x,z'
'-x+y,y,z'
'x,x-y,z'
loop_
_atom_site_label
_atom_site_type_symbol
_atom_site_fract_x
_atom_site_fract_y
_atom_site_fract_z
Ta1 Ta 0.0000 0.0000 0.0000
P1 P 0.6667 0.3333 0.3377
Rh1 Rh 0.3333 0.6667 0.6322
# formation enthalpy at 0 K: -0.21 eV/atom
# electronic total energy: -25.24 eV/cell